Entry 1:
The following is a DFT calculation (GGA-PBE) of crystalline Al2AsOs at its relaxed geometry.

For the final energy, the calculation gives -23.4 eV per cell. The value obtained for the volume is 62 Å³ per cell. As for the crystal system: monoclinic.

Structure (CIF):
```
data_Al2AsOs
_chemical_formula_sum 'Al2 As1 Os1'
_cell_length_a 4.519
_cell_length_b 4.519
_cell_length_c 4.771
_cell_angle_alpha 77.56
_cell_angle_beta 77.56
_cell_angle_gamma 40.99
_symmetry_space_group_name_H-M 'P 1'
_symmetry_Int_Tables_number 1
loop_
_symmetry_equiv_pos_as_xyz
'x,y,z'
loop_
_atom_site_label
_atom_site_fract_x
_atom_site_fract_y
_atom_site_fract_z
_atom_site_occupancy
Os1 0.250 0.250 0.250 1
Al1 0.990 0.990 0.027 1
Al2 0.510 0.510 0.473 1
As1 0.750 0.750 0.750 1
```


Entry 2:
The following is a DFT calculation (GGA-PBE) of crystalline Al2AsOs at its relaxed geometry.

For the final energy, the calculation gives -23.4 eV per cell. The value obtained for the volume is 62 Å³ per cell. As for the crystal system: monoclinic.

Structure (CIF):
```
data_Al2AsOs
_chemical_formula_sum 'Al2 As1 Os1'
_cell_length_a 3.126
_cell_length_b 4.874
_cell_length_c 5.221
_cell_angle_alpha 50.78
_cell_angle_beta 90.00
_cell_angle_gamma 90.00
_symmetry_space_group_name_H-M 'P 1'
_symmetry_Int_Tables_number 1
loop_
_symmetry_equiv_pos_as_xyz
'x,y,z'
loop_
_atom_site_label
_atom_site_fract_x
_atom_site_fract_y
_atom_site_fract_z
_atom_site_occupancy
As1 0.500 0.500 0.500 1
Al1 0.000 0.000 0.000 1
Os1 0.000 0.000 0.500 1
Al2 0.500 0.500 0.000 1
```


Entry 3:
The following is a DFT calculation (GGA-PBE) of crystalline Al2AsOs at its relaxed geometry.

For the final energy, the calculation gives -23.7 eV per cell. The value obtained for the volume is 61 Å³ per cell. As for the crystal system: monoclinic.

Structure (CIF):
```
data_Al2AsOs
_chemical_formula_sum 'Al2 As1 Os1'
_cell_length_a 4.690
_cell_length_b 4.690
_cell_length_c 4.510
_cell_angle_alpha 84.55
_cell_angle_beta 84.55
_cell_angle_gamma 38.01
_symmetry_space_group_name_H-M 'P 1'
_symmetry_Int_Tables_number 1
loop_
_symmetry_equiv_pos_as_xyz
'x,y,z'
loop_
_atom_site_label
_atom_site_fract_x
_atom_site_fract_y
_atom_site_fract_z
_atom_site_occupancy
Os1 0.251 0.251 0.232 1
Al1 0.989 0.989 0.023 1
As1 0.510 0.510 0.500 1
Al2 0.751 0.751 0.745 1
```


Entry 4:
The following is a DFT calculation (GGA-PBE) of crystalline Al3AsOs at its relaxed geometry.

For the final energy, the calculation gives -25.5 eV per cell. Its polymorph energy (0 for the lowest one) is 0 meV per atom. The value obtained for the volume is 106 Å³ per cell. As for the crystal system: cubic.

Structure (CIF):
```
data_Al3AsOs
_chemical_formula_sum 'Al3 As1 Os1'
_cell_length_a 4.736
_cell_length_b 4.736
_cell_length_c 4.736
_cell_angle_alpha 90.00
_cell_angle_beta 90.00
_cell_angle_gamma 90.00
_symmetry_space_group_name_H-M 'P 1'
_symmetry_Int_Tables_number 1
loop_
_symmetry_equiv_pos_as_xyz
'x,y,z'
loop_
_atom_site_label
_atom_site_fract_x
_atom_site_fract_y
_atom_site_fract_z
_atom_site_occupancy
Al1 0.000 0.000 0.500 1
Os1 0.000 0.000 0.000 1
As1 0.500 0.500 0.500 1
Al2 0.500 0.000 0.000 1
Al3 0.000 0.500 0.000 1
```


Entry 5:
The following is a DFT calculation (GGA-PBE) of crystalline AlAs2Os2 at its relaxed geometry.

For the final energy, the calculation gives -33.9 eV per cell. Its polymorph energy (0 for the lowest one) is 0 meV per atom. The value obtained for the volume is 87 Å³ per cell. As for the crystal system: tetragonal.

Structure (CIF):
```
data_AlAs2Os2
_chemical_formula_sum 'Al1 As2 Os2'
_cell_length_a 4.306
_cell_length_b 4.306
_cell_length_c 5.582
_cell_angle_alpha 67.31
_cell_angle_beta 67.31
_cell_angle_gamma 90.00
_symmetry_space_group_name_H-M 'P 1'
_symmetry_Int_Tables_number 1
loop_
_symmetry_equiv_pos_as_xyz
'x,y,z'
loop_
_atom_site_label
_atom_site_fract_x
_atom_site_fract_y
_atom_site_fract_z
_atom_site_occupancy
As1 0.629 0.629 0.743 1
Os1 0.250 0.750 0.500 1
Al1 0.000 0.000 0.000 1
Os2 0.750 0.250 0.500 1
As2 0.371 0.371 0.257 1
```


Entry 6:
The following is a DFT calculation (GGA-PBE) of crystalline Al2AsOs at its relaxed geometry.

For the final energy, the calculation gives -23.8 eV per cell. The value obtained for the volume is 69 Å³ per cell. As for the crystal system: orthorhombic.

Structure (CIF):
```
data_Al2AsOs
_chemical_formula_sum 'Al2 As1 Os1'
_cell_length_a 6.229
_cell_length_b 6.229
_cell_length_c 6.229
_cell_angle_alpha 153.11
_cell_angle_beta 140.65
_cell_angle_gamma 48.30
_symmetry_space_group_name_H-M 'P 1'
_symmetry_Int_Tables_number 1
loop_
_symmetry_equiv_pos_as_xyz
'x,y,z'
loop_
_atom_site_label
_atom_site_fract_x
_atom_site_fract_y
_atom_site_fract_z
_atom_site_occupancy
Al1 0.060 0.060 0.000 1
Os1 0.253 0.753 0.500 1
As1 0.439 0.439 0.000 1
Al2 0.748 0.248 0.500 1
```


Entry 7:
The following is a DFT calculation (GGA-PBE) of crystalline Al2AsOs at its relaxed geometry.

For the final energy, the calculation gives -41.8 eV per cell. The value obtained for the volume is 186 Å³ per cell. As for the crystal system: tetragonal.

Structure (CIF):
```
data_Al2AsOs
_chemical_formula_sum 'Al4 As2 Os2'
_cell_length_a 5.875
_cell_length_b 5.875
_cell_length_c 6.808
_cell_angle_alpha 64.44
_cell_angle_beta 64.44
_cell_angle_gamma 90.00
_symmetry_space_group_name_H-M 'P 1'
_symmetry_Int_Tables_number 1
loop_
_symmetry_equiv_pos_as_xyz
'x,y,z'
loop_
_atom_site_label
_atom_site_fract_x
_atom_site_fract_y
_atom_site_fract_z
_atom_site_occupancy
Al1 0.121 0.625 0.250 1
Al2 0.629 0.125 0.250 1
As1 0.250 0.750 0.500 1
Al3 0.375 0.371 0.750 1
Os1 0.750 0.250 0.500 1
As2 0.500 0.500 0.000 1
Os2 0.000 0.000 0.000 1
Al4 0.875 0.879 0.750 1
```


Entry 8:
The following is a DFT calculation (GGA-PBE) of crystalline Al2AsOs at its relaxed geometry.

For the final energy, the calculation gives -23.3 eV per cell. The value obtained for the volume is 61 Å³ per cell. As for the crystal system: orthorhombic.

Structure (CIF):
```
data_Al2AsOs
_chemical_formula_sum 'Al2 As1 Os1'
_cell_length_a 4.919
_cell_length_b 4.919
_cell_length_c 4.919
_cell_angle_alpha 141.01
_cell_angle_beta 124.32
_cell_angle_gamma 70.06
_symmetry_space_group_name_H-M 'P 1'
_symmetry_Int_Tables_number 1
loop_
_symmetry_equiv_pos_as_xyz
'x,y,z'
loop_
_atom_site_label
_atom_site_fract_x
_atom_site_fract_y
_atom_site_fract_z
_atom_site_occupancy
Os1 0.250 0.750 0.500 1
Al1 0.501 0.501 0.000 1
As1 0.750 0.250 0.500 1
Al2 0.999 0.999 0.000 1
```


Entry 9:
The following is a DFT calculation (GGA-PBE) of crystalline Al2AsOs at its relaxed geometry.

For the final energy, the calculation gives -23.4 eV per cell. The value obtained for the volume is 61 Å³ per cell. As for the crystal system: tetragonal.

Structure (CIF):
```
data_Al2AsOs
_chemical_formula_sum 'Al2 As1 Os1'
_cell_length_a 4.388
_cell_length_b 4.388
_cell_length_c 3.162
_cell_angle_alpha 90.00
_cell_angle_beta 90.00
_cell_angle_gamma 90.00
_symmetry_space_group_name_H-M 'P 1'
_symmetry_Int_Tables_number 1
loop_
_symmetry_equiv_pos_as_xyz
'x,y,z'
loop_
_atom_site_label
_atom_site_fract_x
_atom_site_fract_y
_atom_site_fract_z
_atom_site_occupancy
Al1 0.000 0.000 0.000 1
As1 0.500 0.000 0.500 1
Os1 0.000 0.500 0.500 1
Al2 0.500 0.500 0.000 1
```


Entry 10:
The following is a DFT calculation (GGA-PBE) of crystalline Al2AsOs at its relaxed geometry.

For the final energy, the calculation gives -22.5 eV per cell. The value obtained for the volume is 66 Å³ per cell. As for the crystal system: orthorhombic.

Structure (CIF):
```
data_Al2AsOs
_chemical_formula_sum 'Al2 As1 Os1'
_cell_length_a 2.849
_cell_length_b 2.849
_cell_length_c 9.326
_cell_angle_alpha 90.00
_cell_angle_beta 90.00
_cell_angle_gamma 118.58
_symmetry_space_group_name_H-M 'P 1'
_symmetry_Int_Tables_number 1
loop_
_symmetry_equiv_pos_as_xyz
'x,y,z'
loop_
_atom_site_label
_atom_site_fract_x
_atom_site_fract_y
_atom_site_fract_z
_atom_site_occupancy
As1 0.000 0.000 0.529 1
Al1 0.000 0.000 0.979 1
Os1 0.500 0.500 0.756 1
Al2 0.500 0.500 0.235 1
```


Entry 11:
The following is a DFT calculation (GGA-PBE) of crystalline Al2AsOs2 at its relaxed geometry.

For the final energy, the calculation gives -68.8 eV per cell. The value obtained for the volume is 153 Å³ per cell. As for the crystal system: tetragonal.

Structure (CIF):
```
data_Al2AsOs2
_chemical_formula_sum 'Al4 As2 Os4'
_cell_length_a 7.067
_cell_length_b 7.067
_cell_length_c 3.062
_cell_angle_alpha 90.00
_cell_angle_beta 90.00
_cell_angle_gamma 90.00
_symmetry_space_group_name_H-M 'P 1'
_symmetry_Int_Tables_number 1
loop_
_symmetry_equiv_pos_as_xyz
'x,y,z'
loop_
_atom_site_label
_atom_site_fract_x
_atom_site_fract_y
_atom_site_fract_z
_atom_site_occupancy
Os1 0.162 0.338 0.000 1
Al1 0.136 0.636 0.500 1
Os2 0.338 0.838 0.000 1
Os3 0.662 0.162 0.000 1
Os4 0.838 0.662 0.000 1
Al2 0.364 0.136 0.500 1
Al3 0.636 0.864 0.500 1
Al4 0.864 0.364 0.500 1
As1 0.500 0.500 0.000 1
As2 0.000 0.000 0.000 1
```


Entry 12:
The following is a DFT calculation (GGA-PBE) of crystalline Al2AsOs at its relaxed geometry.

For the final energy, the calculation gives -23.9 eV per cell. The value obtained for the volume is 60 Å³ per cell. As for the crystal system: orthorhombic.

Structure (CIF):
```
data_Al2AsOs
_chemical_formula_sum 'Al2 As1 Os1'
_cell_length_a 3.211
_cell_length_b 3.186
_cell_length_c 6.692
_cell_angle_alpha 61.59
_cell_angle_beta 90.00
_cell_angle_gamma 90.00
_symmetry_space_group_name_H-M 'P 1'
_symmetry_Int_Tables_number 1
loop_
_symmetry_equiv_pos_as_xyz
'x,y,z'
loop_
_atom_site_label
_atom_site_fract_x
_atom_site_fract_y
_atom_site_fract_z
_atom_site_occupancy
Al1 0.000 0.485 0.514 1
Os1 0.500 0.750 0.750 1
As1 0.500 0.250 0.250 1
Al2 0.000 0.015 0.986 1
```


Number 1: density of states at the Fermi level 0.52 states/eV per atom, energy of formation from the pure elements -3.2 meV per atom. Number 2: density of states at the Fermi level 0.26 states/eV per atom, energy of formation from the pure elements -12.1 meV per atom. Number 3: density of states at the Fermi level 0.25 states/eV per atom, energy of formation from the pure elements -82.3 meV per atom. Number 4: density of states at the Fermi level 0.81 states/eV per atom, energy of formation from the pure elements 327.3 meV per atom. Number 5: density of states at the Fermi level 0.58 states/eV per atom, energy of formation from the pure elements 315.1 meV per atom. Number 6: density of states at the Fermi level 0.28 states/eV per atom, energy of formation from the pure elements -105.7 meV per atom. Number 7: density of states at the Fermi level 0.80 states/eV per atom, energy of formation from the pure elements 613.6 meV per atom. Number 8: density of states at the Fermi level 0.38 states/eV per atom, energy of formation from the pure elements 19.0 meV per atom. Number 9: density of states at the Fermi level 0.25 states/eV per atom, energy of formation from the pure elements -8.5 meV per atom. Number 10: density of states at the Fermi level 0.61 states/eV per atom, energy of formation from the pure elements 227.8 meV per atom. Number 11: density of states at the Fermi level 1.04 states/eV per atom, energy of formation from the pure elements 37.6 meV per atom. Number 12: density of states at the Fermi level 0.21 states/eV per atom, energy of formation from the pure elements -126.3 meV per atom.